Fe3O4F2 | PBE+U | optimized geometry

Results
Space-group type ... No. 2
N(E_F) ... 0.320 states/eV per atom
Energy relative to the lowest polymorph listed for this composition ... 0.248 eV/atom
Volume ... 195.3 Å³ per cell
Size of the total moment ... 6.972 μB/f.u.
Total DFT energy (no corrections) ... -5.850 eV/atom

abc: 4.7087 5.5456 7.5744
angles: 84.01 85.85 84.13
Last column: nearest neighbours and their distance in Å.
Fractional positions:
Fe: 0.0000 0.0000 0.0000  4 O 1.91-1.93, 2 F 2.05
Fe: 0.0023 0.6687 0.3328  3 O 1.88-1.89, 3 F 1.96-1.99
Fe: 0.4517 0.1392 0.3218  5 O 1.92-1.99
Fe: 0.5000 0.5000 0.0000  4 O 1.94-1.95, 2 F 2.15
Fe: 0.5483 0.8608 0.6782  5 O 1.92-1.99
Fe: 0.9977 0.3313 0.6672  3 O 1.88-1.89, 3 F 1.96-1.99
O: 0.1764 0.9446 0.2254  3 Fe 1.89-1.99
O: 0.2971 0.4600 0.2327  3 Fe 1.88-1.95
O: 0.3018 0.1320 0.5668  3 Fe 1.88-1.96
O: 0.3133 0.8053 0.8971  3 Fe 1.91-1.94
O: 0.6867 0.1947 0.1029  3 Fe 1.91-1.94
O: 0.6982 0.8680 0.4332  3 Fe 1.88-1.96
O: 0.7029 0.5400 0.7673  3 Fe 1.88-1.95
O: 0.8236 0.0554 0.7746  3 Fe 1.89-1.99
F: 0.1804 0.6202 0.5616  2 Fe 1.96-1.97
F: 0.1900 0.3033 0.8944  3 Fe 1.99-2.15
F: 0.8100 0.6967 0.1056  3 Fe 1.99-2.15
F: 0.8196 0.3798 0.4384  2 Fe 1.96-1.97